## MnGaI2F (GGA+U)

Data for MnGaI2F after structural relaxation.

Lattice parameters (Å, degrees): 5.9064 5.9064 4.0942 90.00 90.00 90.00
Closest atoms and distances in Å follow each position.
Sites, in units of the cell vectors:
I1 0.0000 0.5000 0.0000  2 Mn 2.95
I2 0.5000 0.0000 0.0000  2 Mn 2.95
Mn1 0.0000 0.0000 0.0000  2 F 2.05
Ga1 0.5000 0.5000 0.5000  8 I 3.59
F1 0.0000 0.0000 0.5000  2 Mn 2.05

Values from the calculation:
E (eV/atom): -4.1247
Fermi-level density of states (states/eV/cell): 0.0